1.
Compound: Zn2PtAu
Source: the Alexandria database
Functional: GGA-PBEsol
Structure: optimized geometry

Values from the calculation:
- Space-group type: P2/m, No. 10
- Final energy: -3.78 eV per atom
- Formation energy: -1.08 eV/f.u.
- M_tot: 0.0 μB per cell

```
Zn2PtAu
1.0
4.446 0.000 0.000
0.000 2.940 0.000
-1.701 0.000 4.566
Zn Pt Au
2 1 1
Cartesian
0.000 0.000 0.000 Zn
-0.850 1.470 2.283 Zn
1.373 0.000 2.283 Pt
2.223 1.470 0.000 Au
```

2.
Compound: MgSbTe2
Source: the Alexandria database
Functional: GGA-PBEsol
Structure: optimized geometry

Values from the calculation:
- Space-group type: C2/m, No. 12
- Final energy: -3.62 eV per atom
- E_form (uncorrected): -286 meV per atom
- M_tot: 0.0 μB per cell

```
MgSbTe2
1.0
3.891 -2.086 0.000
3.891 2.086 0.000
-2.240 0.000 7.029
Mg Sb Te
1 1 2
Cartesian
0.000 0.000 0.000 Mg
2.771 0.000 3.515 Sb
0.351 0.000 5.379 Te
5.191 0.000 1.651 Te
```